(1)
! NaLiZn, relaxed, DFT GGA-PBE; values from VASP
&SYSTEM
  ibrav = 0, nat = 6, ntyp = 3
/
ATOMIC_SPECIES
Li 6.94 Li.upf
Na 22.99 Na.upf
Zn 65.41 Zn.upf
ATOMIC_POSITIONS angstrom
Li 0.0000 3.2692 1.4832
Li 1.5214 1.0897 8.5392
Na 0.0000 1.0897 3.6922
Na 1.5214 3.2692 6.3301
Zn 0.0000 3.2692 9.2260
Zn 1.5214 1.0897 0.7963
CELL_PARAMETERS angstrom
3.0428 0.0000 0.0000
0.0000 4.3589 0.0000
-1.5214 0.0000 10.0223
! Energy of formation from the pure elements = -0.0382 eV/atom
! Crystal system = orthorhombic
! Energy relative to the lowest polymorph listed for this composition = 0.0012 eV per atom
! Energy = -1.5404 eV per atom
! Size of the total moment = 0.0 Bohr magnetons per cell
! SG = Cmcm (63)

***

(2)
! La6Ni3Br2, relaxed, DFT GGA-PBE; values from VASP
&SYSTEM
  ibrav = 0, nat = 11, ntyp = 3
/
ATOMIC_SPECIES
La 138.91 La.upf
Ni 58.69 Ni.upf
Br 79.90 Br.upf
ATOMIC_POSITIONS angstrom
La -5.9676 7.0024 4.4263
La -8.9770 3.0283 4.2782
La -5.8168 7.0838 0.1369
La -5.4601 2.4658 2.0676
La -2.4506 6.4399 2.2157
La -2.0471 1.9398 0.0323
Ni -7.0307 1.1331 4.1370
Ni 0.0000 0.0000 0.0000
Ni -3.5162 0.5644 2.1442
Br -7.4480 5.0768 2.2069
Br -3.9797 4.3914 4.2870
CELL_PARAMETERS angstrom
-6.9832 1.2529 -0.0434
-3.5637 0.4446 6.3246
-0.8807 7.7707 0.2127
! Crystal system = monoclinic
! Uncorrected formation energy = -651.9 meV/atom
! Energy = -5.2205 eV per atom
! Size of the total moment = 0.0 Bohr magnetons per cell
! SG = C2/m (12)